1.
The following is a DFT calculation (PBE-GGA) of a relaxed structure of GdErTl2.

abc: 5.3738 5.3738 5.3738
angles: 60.00 60.00 60.00
With the nearest neighbours (Å) after each atom.
Element x y z (fractional)
Gd 0.0000 0.0000 0.0000  8 Tl 3.29
Er 0.5000 0.5000 0.5000  8 Tl 3.29
Tl 0.2500 0.2500 0.2500  4 Er 3.29, 4 Gd 3.29
Tl 0.7500 0.7500 0.7500  4 Er 3.29, 4 Gd 3.29

Values from the calculation:
Density   11.097 Mg/m³
Magnetization   7.41 Bohr magnetons per cell
Space group   No. 225
Raw total energy   -6.191 eV per atom
ΔE_f   -0.35 eV per atom

***

2.
The following is a DFT calculation (PBE-GGA) of a relaxed structure of ReOs3.

abc: 4.7386 4.7386 2.7345
angles: 90.00 90.00 109.27
With the nearest neighbours (Å) after each atom.
Element x y z (fractional)
Re 0.0000 0.0000 0.0000  2 Re 2.73, 10 Os 2.74
Os 0.0000 0.5000 0.5000  8 Os 2.73-2.74, 4 Re 2.74
Os 0.5000 0.0000 0.5000  8 Os 2.73-2.74, 4 Re 2.74
Os 0.5000 0.5000 0.0000  10 Os 2.73-2.74, 2 Re 2.74

Values from the calculation:
Density   21.684 Mg/m³
Magnetization   0.00 Bohr magnetons per cell
Space group   No. 65
Raw total energy   -11.448 eV per atom
ΔE_f   0.09 eV per atom

***

3.
The following is a DFT calculation (PBE-GGA) of a relaxed structure of LaPm2Ni9.

abc: 8.7378 8.7378 8.7378
angles: 33.58 33.58 33.58
With the nearest neighbours (Å) after each atom.
Element x y z (fractional)
La 0.0000 0.0000 0.0000  18 Ni 2.91-3.24
Pm 0.1392 0.1392 0.1392  12 Ni 2.89-3.13, 3 Pm 3.22
Pm 0.8608 0.8608 0.8608  12 Ni 2.89-3.13, 3 Pm 3.22
Ni 0.0825 0.5817 0.5817  7 Ni 2.48-2.55
Ni 0.3326 0.3326 0.3326  6 Ni 2.48-2.51
Ni 0.4183 0.4183 0.9175  7 Ni 2.48-2.55
Ni 0.4183 0.9175 0.4183  7 Ni 2.48-2.55
Ni 0.5000 0.5000 0.5000  6 Ni 2.55
Ni 0.5817 0.0826 0.5817  7 Ni 2.48-2.55
Ni 0.5817 0.5817 0.0826  7 Ni 2.48-2.55
Ni 0.6674 0.6674 0.6674  6 Ni 2.48-2.51
Ni 0.9174 0.4183 0.4183  7 Ni 2.48-2.55

Values from the calculation:
Density   8.742 Mg/m³
Magnetization   0.01 Bohr magnetons per cell
Space group   No. 166
Raw total energy   -5.870 eV per atom
ΔE_f   -0.33 eV per atom

***

4.
The following is a DFT calculation (PBE-GGA) of a relaxed structure of Y3Tl3SbTe8.

abc: 9.5673 9.5673 9.5673
angles: 55.30 55.30 55.30
With the nearest neighbours (Å) after each atom.
Element x y z (fractional)
Y 0.0000 0.5000 0.5000  6 Te 3.09-3.11
Y 0.5000 0.0000 0.5000  6 Te 3.09-3.11
Y 0.5000 0.5000 0.0000  6 Te 3.09-3.11
Tl 0.0000 0.0000 0.5000  6 Te 3.43-3.46
Tl 0.0000 0.5000 0.0000  6 Te 3.43-3.46
Tl 0.5000 0.0000 0.0000  6 Te 3.43-3.46
Sb 0.0000 0.0000 0.0000  6 Te 3.08
Te 0.2369 0.2369 0.7383  1 Sb 3.08, 2 Y 3.09
Te 0.2369 0.7383 0.2369  1 Sb 3.08, 2 Y 3.09
Te 0.2610 0.2610 0.2610  3 Y 3.11, 3 Tl 3.43
Te 0.2617 0.7631 0.7631  1 Sb 3.08, 2 Y 3.09
Te 0.7383 0.2369 0.2369  1 Sb 3.08, 2 Y 3.09
Te 0.7390 0.7390 0.7390  3 Y 3.11, 3 Tl 3.43
Te 0.7631 0.2617 0.7631  1 Sb 3.08, 2 Y 3.09
Te 0.7631 0.7631 0.2617  1 Sb 3.08, 2 Y 3.09

Values from the calculation:
Formation energy (no corrections)   -0.842 eV/atom
Density   6.088 Mg/m³
Magnetization   0.00 Bohr magnetons per cell
Space group   No. 166
Raw total energy   -4.559 eV per atom

***

5.
The following is a DFT calculation (PBE-GGA) of a relaxed structure of Tm2Pd7Au3.

abc: 4.9393 4.9402 9.3460
angles: 101.05 101.05 105.89
With the nearest neighbours (Å) after each atom.
Element x y z (fractional)
Tm 0.1636 0.1624 0.3269  9 Pd 2.86-2.92, 3 Au 2.98-3.06
Tm 0.8364 0.8376 0.6731  9 Pd 2.86-2.92, 3 Au 2.98-3.06
Pd 0.0000 0.0000 0.0000  8 Pd 2.86-2.87, 2 Tm 2.90, 2 Au 2.98
Pd 0.0812 0.5811 0.1635  2 Tm 2.86-2.87, 6 Pd 2.86-2.99, 4 Au 2.86-2.87
Pd 0.2504 0.7501 0.5012  4 Au 2.90-2.91, 4 Tm 2.90-2.92, 4 Pd 2.97-2.99
Pd 0.4181 0.9181 0.8371  6 Pd 2.86-2.98, 4 Au 2.86-2.87, 2 Tm 2.86-2.87
Pd 0.5819 0.0819 0.1629  6 Pd 2.86-2.98, 4 Au 2.86-2.87, 2 Tm 2.86-2.87
Pd 0.7496 0.2499 0.4988  4 Au 2.90-2.91, 4 Tm 2.90-2.92, 4 Pd 2.97-2.99
Pd 0.9188 0.4189 0.8365  2 Tm 2.86-2.87, 6 Pd 2.86-2.99, 4 Au 2.86-2.87
Au 0.3369 0.3356 0.6718  8 Pd 2.87-2.91, 1 Au 2.91, 3 Tm 2.98-3.06
Au 0.5000 0.5000 0.0000  10 Pd 2.86-2.98, 2 Au 2.91
Au 0.6631 0.6644 0.3282  8 Pd 2.87-2.91, 1 Au 2.91, 3 Tm 2.98-3.06

Values from the calculation:
Density   13.365 Mg/m³
Magnetization   0.00 Bohr magnetons per cell
Space group   No. 2
Raw total energy   -5.198 eV per atom
ΔE_f   -0.60 eV per atom

***

6.
The following is a DFT calculation (PBE-GGA) of a relaxed structure of NaPmInAg.

abc: 5.2460 5.2460 5.2460
angles: 60.00 60.00 60.00
With the nearest neighbours (Å) after each atom.
Element x y z (fractional)
Na 0.0000 0.0000 0.0000  4 In 3.21, 4 Ag 3.21
Pm 0.5000 0.5000 0.5000  4 In 3.21, 4 Ag 3.21
In 0.7500 0.7500 0.7500  4 Na 3.21, 4 Pm 3.21
Ag 0.2500 0.2500 0.2500  4 Na 3.21, 4 Pm 3.21

Values from the calculation:
Density   6.355 Mg/m³
Magnetization   0.00 Bohr magnetons per cell
Space group   No. 216
Raw total energy   -3.108 eV per atom
ΔE_f   -0.19 eV per atom

***

7.
The following is a DFT calculation (PBE-GGA) of a relaxed structure of Rb2SnS2.

abc: 7.9353 7.9353 4.8907
angles: 90.00 90.00 90.00
With the nearest neighbours (Å) after each atom.
Element x y z (fractional)
Rb 0.1400 0.3600 0.0000  1 Rb 3.14, 2 S 3.16
Rb 0.3600 0.8600 0.0000  1 Rb 3.14, 2 S 3.16
Rb 0.6400 0.1400 0.0000  1 Rb 3.14, 2 S 3.16
Rb 0.8600 0.6400 0.0000  1 Rb 3.14, 2 S 3.16
Sn 0.0000 0.0000 0.5000  4 S 2.91
Sn 0.5000 0.5000 0.5000  4 S 2.91
S 0.1816 0.6816 0.5000  2 Sn 2.91, 2 Rb 3.16
S 0.3184 0.1816 0.5000  2 Sn 2.91, 2 Rb 3.16
S 0.6816 0.8184 0.5000  2 Sn 2.91, 2 Rb 3.16
S 0.8184 0.3184 0.5000  2 Sn 2.91, 2 Rb 3.16

Values from the calculation:
Formation energy (no corrections)   -0.595 eV/atom
Density   3.815 Mg/m³
Magnetization   0.00 Bohr magnetons per cell
Space group   No. 127
Raw total energy   -3.433 eV per atom

***

8.
The following is a DFT calculation (PBE-GGA) of a relaxed structure of CsRbV2As.

abc: 5.6222 5.6222 6.3602
angles: 90.00 90.00 90.00
With the nearest neighbours (Å) after each atom.
Element x y z (fractional)
Cs 0.0000 0.0000 0.0000  2 Rb 3.18
Rb 0.0000 0.0000 0.5000  4 V 2.81
V 0.0000 0.5000 0.5000  2 Rb 2.81
V 0.5000 0.0000 0.5000  2 Rb 2.81
As 0.5000 0.5000 0.0000  4 Cs 3.98, 8 V 4.24

Values from the calculation:
Density   3.264 Mg/m³
Magnetization   8.70 Bohr magnetons per cell
Space group   No. 123
Raw total energy   -2.886 eV per atom
ΔE_f   2.06 eV per atom